(1)
The following is a DFT calculation (GGA-PBE) of a geometry-optimized NaErZnF6 structure.

**ΔE_f (raw)**: -3.196 eV per atom
**Total magnetic moment**: 0.000 μB/atom

Cell: 5.637 5.637 9.647 Å, 90.00 90.00 120.00°
Element x y z (fractional)
F (0.362, 0.013, 0.636)
Zn (0.333, 0.667, 0.250)
Er (0.333, 0.667, 0.750)
Er (0.667, 0.333, 0.250)
F (0.349, 0.987, 0.136)
F (0.987, 0.349, 0.636)
Zn (0.667, 0.333, 0.750)
Na (0.000, 0.000, 0.000)
F (0.638, 0.651, 0.136)
F (0.013, 0.362, 0.136)
F (0.362, 0.349, 0.864)
F (0.651, 0.638, 0.636)
Na (0.000, 0.000, 0.500)
F (0.013, 0.651, 0.364)
F (0.651, 0.013, 0.864)
F (0.349, 0.362, 0.364)
F (0.987, 0.638, 0.864)
F (0.638, 0.987, 0.364)

=====

(2)
The following is a DFT calculation (GGA-PBE) of a geometry-optimized LaLuNiRh structure.

**DFT formation energy**: -0.5450 eV/atom
**Total magnetic moment**: 0.002 μB/atom

Cell: 4.897 4.897 4.897 Å, 60.00 60.00 60.00°
Element x y z (fractional)
Ni (0.250, 0.250, 0.250)
Lu (0.500, 0.500, 0.500)
La (0.000, 0.000, 0.000)
Rh (0.750, 0.750, 0.750)

=====

(3)
The following is a DFT calculation (GGA-PBE) of a geometry-optimized DyTaBrO4 structure.

**ΔE_f (raw)**: -2.640 eV per atom
**Total magnetic moment**: 0.000 μB/atom

Cell: 7.048 7.048 6.950 Å, 76.64 76.64 54.41°
Element x y z (fractional)
O (0.098, 0.539, 0.125)
O (0.539, 0.098, 0.125)
O (0.902, 0.461, 0.875)
Ta (0.377, 0.377, 0.246)
Ta (0.623, 0.623, 0.754)
O (0.470, 0.470, 0.805)
Dy (0.291, 0.291, 0.840)
O (0.530, 0.530, 0.195)
O (0.684, 0.684, 0.483)
O (0.316, 0.316, 0.517)
Br (0.016, 0.016, 0.329)
Dy (0.709, 0.709, 0.160)
Br (0.984, 0.984, 0.671)
O (0.461, 0.902, 0.875)

=====

(4)
The following is a DFT calculation (GGA-PBE) of a geometry-optimized Ac6TlSe3S2 structure.

**ΔE_f (raw)**: -1.617 eV per atom
**Total magnetic moment**: 0.000 μB/atom

Cell: 4.427 9.091 10.082 Å, 103.59 102.68 90.00°
Element x y z (fractional)
Ac (0.005, 0.262, 0.010)
S (0.829, 0.663, 0.657)
Ac (0.995, 0.738, 0.990)
Ac (0.670, 0.092, 0.339)
Ac (0.330, 0.908, 0.661)
S (0.171, 0.337, 0.343)
Se (0.500, 0.500, 0.000)
Se (0.165, 0.828, 0.330)
Se (0.835, 0.172, 0.670)
Ac (0.668, 0.574, 0.337)
Ac (0.332, 0.426, 0.663)
Tl (0.500, 0.000, 0.000)

=====

Q: total magnetic moment of number 1 (NaErZnF6)?
A: 0.000 μB/atom

=====

Q: total magnetic moment of number 2 (LaLuNiRh)?
A: 0.002 μB/atom

=====

Q: Number 1 is which compound?
A: NaErZnF6